A plane-wave DFT calculation with PBEsol was carried out for GaCuSb3 after structural relaxation.

a b c (Å): 5.0449 5.0449 5.0449
angles (deg): 90.00 90.00 90.00
Closest atoms and distances in Å follow each position.
Atoms (fractional coordinates):
Sb: 0.0000 0.5000 0.0000  2 Cu 2.52
Sb: 0.0000 0.0000 0.5000  2 Cu 2.52
Sb: 0.5000 0.0000 0.0000  2 Cu 2.52
Cu: 0.0000 0.0000 0.0000  6 Sb 2.52
Ga: 0.5000 0.5000 0.5000  12 Sb 3.57

formation energy (no corrections)	0.47	eV/atom
symmetry	Pm-3m, No. 221
uncorrected energy	-18.995	eV per formula unit